Record 1
PBE AcPu3Rh3, optimized geometry; DOS at the Fermi energy = 47.3 states/eV/cell; total DFT energy (no corrections) = -9.79 eV/atom; formation enthalpy at 0 K = 92.9 meV per atom; magnetization = 2.295 μB/atom
1.0
7.4423 0.0000 0.0000
0.0000 7.4423 0.0000
0.0000 0.0000 7.4423
Pu Ac Rh
6 2 6
Cartesian
0.0000 3.7211 5.5817
1.8606 0.0000 3.7211
3.7211 1.8606 0.0000
5.5817 0.0000 3.7211
0.0000 3.7211 1.8606
3.7211 5.5817 0.0000
3.7211 3.7211 3.7211
0.0000 0.0000 0.0000
3.7211 0.0000 5.5817
1.8606 3.7211 0.0000
3.7211 0.0000 1.8606
0.0000 5.5817 3.7211
5.5817 3.7211 0.0000
0.0000 1.8606 3.7211

***

Record 2
PBE Dy2CdGa2Rh5, optimized geometry; DOS at the Fermi energy = 11.3 states/eV/cell; total DFT energy (no corrections) = -6.00 eV/atom; formation enthalpy at 0 K = -705.1 meV per atom; magnetization = 0.000 μB/atom
1.0
-1.9349 -2.6703 1.4498
6.1428 -6.5894 -3.9385
5.5716 0.3569 8.0929
Rh Ga Cd Dy
10 4 2 4
Cartesian
5.9105 -7.3910 -1.2497
3.2987 -4.0668 1.3871
1.8184 -1.1567 4.7714
3.8691 -1.5118 6.8540
9.0765 -6.2169 5.1377
5.7839 -5.8518 1.4162
6.4808 -4.8359 4.2172
0.7030 -2.6858 0.4666
2.1040 -4.6298 -1.2443
3.9956 -3.0510 4.1881
8.7138 -3.7980 4.6338
4.2364 -0.5933 4.5609
3.0007 -2.4345 -0.4794
7.4780 -5.6392 -0.4065
0.0000 0.0000 0.0000
5.8572 -3.1162 2.0772
5.1163 -4.3827 -1.2440
8.8289 -5.1984 2.2082
2.8855 -1.0341 1.9462
6.5981 -1.8498 5.3985

***

Record 3
PBE SrEuNi, optimized geometry; DOS at the Fermi energy = 11.8 states/eV/cell; relative energy among the computed polymorphs = 0.044 eV/f.u.; total DFT energy (no corrections) = -5.88 eV/atom; formation enthalpy at 0 K = 32.6 meV per atom; magnetization = 2.406 μB/atom
1.0
3.6473 0.0000 0.0000
0.0000 3.6473 0.0000
-1.8237 -1.8237 6.8919
Sr Ni Eu
1 1 1
Cartesian
0.0000 0.0000 0.5257
1.8237 1.8237 2.3940
0.0000 0.0000 3.9721

***

Record 4
PBE MgNiOs3, optimized geometry; DOS at the Fermi energy = 7.8 states/eV/cell; relative energy among the computed polymorphs = 4.521 eV/f.u.; total DFT energy (no corrections) = -5.64 eV/atom; formation enthalpy at 0 K = 2572.4 meV per atom; magnetization = 0.000 μB/atom
1.0
-1.2955 -3.2718 2.6435
4.0428 -0.2047 1.7278
-1.1615 2.9368 3.0656
Os Mg Ni
3 1 1
Cartesian
2.0214 -0.1023 0.8639
-0.6477 -1.6359 1.3218
-0.5807 1.4684 1.5328
0.0000 0.0000 0.0000
0.7929 -0.2699 3.7185